[1]
3
Lattice="3.609 0.000 0.000 -1.804 3.125 0.000 0.000 0.000 5.421" Properties=species:S:1:pos:R:3 comment="PBE AsRhCl, relaxed" formation_energy_uncorrected_mev_per_atom=-332 e_tot_ev_per_atom=-4.948 total_magnetization_mub_per_fu=0.000 sg="P3m1 (156)" polymorph_energy_ev_per_fu=0.00 pbc="T T T"
As 0.000 0.000 0.000
Rh 0.000 2.084 4.271
Cl 1.804 1.042 2.639



[2]
6
Lattice="0.000 3.693 3.693 3.693 0.000 3.693 3.693 3.693 0.000" Properties=species:S:1:pos:R:3 comment="PBE AsRh4Cl, relaxed" formation_energy_uncorrected_mev_per_atom=666 e_tot_ev_per_atom=-5.318 total_magnetization_mub_per_fu=2.140 sg="F-43m (216)" pbc="T T T"
As 0.000 0.000 0.000
Rh 2.766 2.766 2.766
Rh 4.619 4.619 2.766
Rh 4.619 2.766 4.619
Rh 2.766 4.619 4.619
Cl 5.539 5.539 5.539



[3]
5
Lattice="4.715 0.000 0.000 0.000 4.715 0.000 0.000 0.000 4.950" Properties=species:S:1:pos:R:3 comment="PBE As2RhSeCl, relaxed" formation_energy_uncorrected_mev_per_atom=1286 e_tot_ev_per_atom=-3.111 total_magnetization_mub_per_fu=0.000 sg="P4/mmm (123)" polymorph_energy_ev_per_fu=4.23 pbc="T T T"
As 0.000 2.357 0.000
As 2.357 0.000 0.000
Rh 0.000 0.000 2.475
Se 2.357 2.357 2.475
Cl 2.357 2.357 0.000



[4]
5
Lattice="4.834 0.000 0.000 0.000 4.834 0.000 0.000 0.000 4.966" Properties=species:S:1:pos:R:3 comment="PBE As2RhSeCl, relaxed" formation_energy_uncorrected_mev_per_atom=439 e_tot_ev_per_atom=-3.957 total_magnetization_mub_per_fu=0.000 sg="P4/mmm (123)" polymorph_energy_ev_per_fu=0.00 pbc="T T T"
As 0.000 2.417 0.000
As 2.417 0.000 0.000
Rh 0.000 0.000 0.000
Se 0.000 0.000 2.483
Cl 2.417 2.417 2.483